# 1
Compound: Ce6ThCd2
Source: Alexandria via LeMat-Bulk
Functional: PBE
Structure: relaxed

Calculated values
Space-group type   C2/m (12)
Fermi-level density of states   2.3886 states/eV/atom
Crystal system   monoclinic

a = 9.441 Å, b = 9.441 Å, c = 3.386 Å
α = 93.42°, β = 93.42°, γ = 126.96°
Fractional positions:
Ce 0.012 0.684 0.599
Ce 0.160 0.160 0.843
Ce 0.316 0.988 0.401
Ce 0.684 0.012 0.599
Ce 0.840 0.840 0.157
Ce 0.988 0.316 0.401
Th 0.500 0.500 0.500
Cd 0.329 0.671 0.000
Cd 0.671 0.329 0.000

# 2
Compound: RbSrNb
Source: Alexandria via LeMat-Bulk
Functional: PBE
Structure: relaxed

Calculated values
Space-group type   P6_3/mmc (194)
Fermi-level density of states   0.6662 states/eV/atom
Crystal system   hexagonal
Energy above the lowest structure with this stoichiometry   1664.0 meV/atom

a = 7.235 Å, b = 7.235 Å, c = 12.549 Å
α = 90.00°, β = 90.00°, γ = 120.00°
Fractional positions:
Rb 0.333 0.667 0.250
Rb 0.667 0.333 0.750
Sr 0.000 0.000 0.250
Sr 0.000 0.000 0.750
Nb 0.000 0.000 0.000
Nb 0.000 0.000 0.500

# 3
Compound: LaNd3Sm2Y6
Source: Alexandria via LeMat-Bulk
Functional: PBE
Structure: relaxed

Calculated values
Space-group type   C2/m (12)
Fermi-level density of states   1.2119 states/eV/atom
Crystal system   monoclinic

a = 6.291 Å, b = 6.291 Å, c = 11.907 Å
α = 95.03°, β = 95.03°, γ = 119.99°
Fractional positions:
La 0.000 0.000 0.000
Nd 0.167 0.833 0.500
Nd 0.500 0.500 0.500
Nd 0.833 0.167 0.500
Sm 0.333 0.667 0.000
Sm 0.667 0.333 0.000
Y 0.083 0.418 0.250
Y 0.251 0.251 0.750
Y 0.418 0.083 0.250
Y 0.582 0.917 0.750
Y 0.749 0.749 0.250
Y 0.917 0.582 0.750

# 4
Compound: PmSm2Y
Source: Alexandria via LeMat-Bulk
Functional: PBE
Structure: relaxed

Calculated values
Space-group type   Cmcm (63)
Fermi-level density of states   1.8186 states/eV/atom
Crystal system   orthorhombic
Energy above the lowest structure with this stoichiometry   10.7 meV/atom

a = 7.343 Å, b = 7.343 Å, c = 5.808 Å
α = 90.00°, β = 90.00°, γ = 120.01°
Fractional positions:
Pm 0.083 0.917 0.750
Pm 0.917 0.083 0.250
Sm 0.081 0.415 0.750
Sm 0.415 0.081 0.250
Sm 0.585 0.919 0.750
Sm 0.919 0.585 0.250
Y 0.416 0.584 0.250
Y 0.584 0.416 0.750

| no. | ΔH_f (0 K) (eV/atom) | E (eV/atom) |
| --- | --- | --- |
| 1 | 0.005 | -4.979 |
| 2 | 2.067 | -2.173 |
| 3 | 0.010 | -5.611 |
| 4 | 0.020 | -5.143 |